Model one:
{
  "formula": "V2Co3Pt",
  "functional": "PBE",
  "state": "relaxed",
  "lattice": [[4.191, 0.000, 0.000], [-2.095, 6.331, -0.651], [0.000, -3.608, 5.986]],
  "species": ["V", "V", "V", "V", "Co", "Co", "Co", "Co", "Co", "Co", "Pt", "Pt"],
  "fractional_positions": [[0.526, 0.051, 0.849], [0.474, 0.949, 0.151], [0.796, 0.592, 0.165], [0.204, 0.408, 0.835], [0.297, 0.595, 0.592], [0.961, 0.921, 0.622], [0.616, 0.231, 0.652], [0.384, 0.769, 0.348], [0.039, 0.079, 0.378], [0.703, 0.405, 0.408], [0.864, 0.728, 0.874], [0.136, 0.272, 0.126]]
}

---

Model two:
{
  "formula": "V2Co3Pt",
  "functional": "PBE",
  "state": "relaxed",
  "lattice": [[3.544, 0.000, 0.000], [0.000, 3.499, -1.183], [0.000, 0.029, 5.852]],
  "species": ["V", "V", "Co", "Co", "Co", "Pt"],
  "fractional_positions": [[0.000, 0.665, 0.329], [0.000, 0.335, 0.671], [0.500, 0.170, 0.340], [0.500, 0.500, 0.000], [0.500, 0.830, 0.660], [0.000, 0.000, 0.000]]
}

---

Verdict on stability: model two comes out on top.

---

Model one:
{
  "formula": "V3CoPt",
  "functional": "PBE",
  "state": "relaxed",
  "lattice": [[-1.906, -2.854, 3.599], [0.969, -4.869, -0.286], [9.947, -1.011, 7.885]],
  "species": ["V", "V", "V", "V", "V", "V", "V", "V", "V", "V", "V", "V", "Co", "Co", "Co", "Co", "Pt", "Pt", "Pt", "Pt"],
  "fractional_positions": [[0.659, 0.976, 0.790], [0.024, 0.341, 0.710], [0.341, 0.024, 0.210], [0.976, 0.659, 0.290], [0.580, 0.874, 0.594], [0.126, 0.420, 0.906], [0.420, 0.126, 0.406], [0.874, 0.580, 0.094], [0.123, 0.915, 0.913], [0.085, 0.877, 0.587], [0.915, 0.123, 0.413], [0.877, 0.085, 0.087], [0.000, 0.500, 0.500], [0.500, 0.000, 0.000], [0.740, 0.260, 0.250], [0.260, 0.740, 0.750], [0.641, 0.430, 0.892], [0.570, 0.359, 0.608], [0.359, 0.570, 0.108], [0.430, 0.641, 0.392]]
}

---

Model two:
{
  "formula": "V3CoPt",
  "functional": "PBE",
  "state": "relaxed",
  "lattice": [[-2.916, 1.860, 2.472], [0.927, -2.716, 3.137], [2.952, 2.691, 1.457]],
  "species": ["Co", "Pt", "V", "V", "V"],
  "fractional_positions": [[0.000, 0.000, 0.000], [0.500, 0.500, 0.500], [0.000, 0.500, 0.000], [0.000, 0.000, 0.500], [0.500, 0.000, 0.000]]
}

---

Verdict on stability: model one comes out on top.

---

Model one:
{
  "formula": "V2Co2Pt",
  "functional": "PBE",
  "state": "relaxed",
  "lattice": [[-2.517, -2.057, 2.599], [-3.726, -1.793, -1.696], [0.287, -4.459, 0.080]],
  "species": ["V", "V", "Co", "Co", "Pt"],
  "fractional_positions": [[0.805, 0.695, 0.695], [0.195, 0.305, 0.305], [0.500, 0.713, 0.287], [0.500, 0.287, 0.713], [0.000, 0.000, 0.000]]
}

---

Model two:
{
  "formula": "V2Co2Pt",
  "functional": "PBE",
  "state": "relaxed",
  "lattice": [[6.720, 0.000, 0.000], [0.000, 6.720, 0.000], [0.000, 0.000, 2.767]],
  "species": ["Co", "Co", "Co", "Co", "Pt", "Pt", "V", "V", "V", "V"],
  "fractional_positions": [[0.371, 0.871, 0.000], [0.871, 0.629, 0.000], [0.629, 0.129, 0.000], [0.129, 0.371, 0.000], [0.000, 0.000, 0.000], [0.500, 0.500, 0.000], [0.170, 0.670, 0.500], [0.670, 0.830, 0.500], [0.830, 0.330, 0.500], [0.330, 0.170, 0.500]]
}

---

Model three:
{
  "formula": "V2Co2Pt",
  "functional": "PBE",
  "state": "relaxed",
  "lattice": [[-4.420, -3.891, -3.722], [4.582, -5.248, 0.044], [-1.083, -0.927, 2.254]],
  "species": ["Co", "Co", "Co", "Co", "Pt", "Pt", "V", "V", "V", "V"],
  "fractional_positions": [[0.138, 0.638, 0.500], [0.638, 0.862, 0.500], [0.862, 0.362, 0.500], [0.362, 0.138, 0.500], [0.000, 0.000, 0.000], [0.500, 0.500, 0.000], [0.348, 0.848, 0.000], [0.848, 0.652, 0.000], [0.652, 0.152, 0.000], [0.152, 0.348, 0.000]]
}

---

Verdict on stability: model two comes out on top.

---

Model one:
{
  "formula": "VCo2Pt2",
  "functional": "PBE",
  "state": "relaxed",
  "lattice": [[-2.677, 2.584, -0.553], [-0.672, 0.098, 3.715], [7.675, 5.481, 1.244]],
  "species": ["V", "V", "Co", "Co", "Co", "Co", "Pt", "Pt", "Pt", "Pt"],
  "fractional_positions": [[0.353, 0.927, 0.706], [0.647, 0.427, 0.294], [0.947, 0.927, 0.894], [0.854, 0.427, 0.709], [0.146, 0.927, 0.291], [0.053, 0.427, 0.106], [0.447, 0.427, 0.893], [0.750, 0.927, 0.501], [0.250, 0.427, 0.499], [0.553, 0.927, 0.107]]
}

---

Model two:
{
  "formula": "VCo2Pt2",
  "functional": "PBE",
  "state": "relaxed",
  "lattice": [[6.086, 0.000, 0.000], [0.000, 6.086, 0.000], [0.000, 0.000, 3.683]],
  "species": ["Co", "Co", "Co", "Co", "Pt", "Pt", "Pt", "Pt", "V", "V"],
  "fractional_positions": [[0.367, 0.867, 0.000], [0.867, 0.633, 0.000], [0.633, 0.133, 0.000], [0.133, 0.367, 0.000], [0.166, 0.666, 0.500], [0.666, 0.834, 0.500], [0.834, 0.334, 0.500], [0.334, 0.166, 0.500], [0.000, 0.000, 0.000], [0.500, 0.500, 0.000]]
}

---

Verdict on stability: model one comes out on top.